one.
# PBE LiTeIO2, relaxed
data_LiTeIO2
_chemical_formula_sum 'Li1 Te1 I1 O2'
_cell_length_a 4.257
_cell_length_b 4.257
_cell_length_c 5.564
_cell_angle_alpha 90.00
_cell_angle_beta 90.00
_cell_angle_gamma 90.00
_symmetry_space_group_name_H-M 'P 4/m m m'
_symmetry_Int_Tables_number 123
_symmetry_space_group_name_Hall '-P 4 2'
loop_
_atom_site_label
_atom_site_type_symbol
_atom_site_fract_x
_atom_site_fract_y
_atom_site_fract_z
Li1 Li 0.000 0.000 0.000
Te1 Te 0.500 0.500 0.500
I1 I 0.000 0.000 0.500
O1 O 0.000 0.500 0.000
# V: 20.17 Å³/atom

two.
# PBE LiTeIO2, relaxed
data_LiTeIO2
_chemical_formula_sum 'Li1 Te1 I1 O2'
_cell_length_a 4.093
_cell_length_b 4.093
_cell_length_c 6.730
_cell_angle_alpha 90.00
_cell_angle_beta 90.00
_cell_angle_gamma 90.00
_symmetry_space_group_name_H-M 'P 4/m m m'
_symmetry_Int_Tables_number 123
_symmetry_space_group_name_Hall '-P 4 2'
loop_
_atom_site_label
_atom_site_type_symbol
_atom_site_fract_x
_atom_site_fract_y
_atom_site_fract_z
Li1 Li 0.000 0.000 0.000
Te1 Te 0.500 0.500 0.500
I1 I 0.500 0.500 0.000
O1 O 0.000 0.500 0.500
# V: 22.55 Å³/atom

Order from most stable to least stable according to the calculation: two, one

one.
# PBE LiTeI2O, relaxed
data_LiTeI2O
_chemical_formula_sum 'Li1 Te1 I2 O1'
_cell_length_a 6.244
_cell_length_b 6.244
_cell_length_c 4.111
_cell_angle_alpha 90.00
_cell_angle_beta 90.00
_cell_angle_gamma 90.00
_symmetry_space_group_name_H-M 'P 4/m m m'
_symmetry_Int_Tables_number 123
_symmetry_space_group_name_Hall '-P 4 2'
loop_
_atom_site_label
_atom_site_type_symbol
_atom_site_fract_x
_atom_site_fract_y
_atom_site_fract_z
Li1 Li 0.000 0.000 0.000
Te1 Te 0.500 0.500 0.500
I1 I 0.000 0.500 0.500
O1 O 0.500 0.500 0.000
# V: 32.05 Å³/atom

two.
# PBE LiTeI2O, relaxed
data_LiTeI2O
_chemical_formula_sum 'Li1 Te1 I2 O1'
_cell_length_a 5.326
_cell_length_b 5.326
_cell_length_c 4.595
_cell_angle_alpha 90.00
_cell_angle_beta 90.00
_cell_angle_gamma 90.00
_symmetry_space_group_name_H-M 'P 4/m m m'
_symmetry_Int_Tables_number 123
_symmetry_space_group_name_Hall '-P 4 2'
loop_
_atom_site_label
_atom_site_type_symbol
_atom_site_fract_x
_atom_site_fract_y
_atom_site_fract_z
Li1 Li 0.000 0.000 0.000
Te1 Te 0.500 0.500 0.000
I1 I 0.000 0.500 0.500
O1 O 0.500 0.500 0.500
# V: 26.07 Å³/atom

three.
# PBE LiTeI2O, relaxed
data_LiTeI2O
_chemical_formula_sum 'Li1 Te1 I2 O1'
_cell_length_a 5.118
_cell_length_b 5.118
_cell_length_c 5.195
_cell_angle_alpha 90.00
_cell_angle_beta 90.00
_cell_angle_gamma 90.00
_symmetry_space_group_name_H-M 'P 4/m m m'
_symmetry_Int_Tables_number 123
_symmetry_space_group_name_Hall '-P 4 2'
loop_
_atom_site_label
_atom_site_type_symbol
_atom_site_fract_x
_atom_site_fract_y
_atom_site_fract_z
Li1 Li 0.000 0.000 0.000
Te1 Te 0.000 0.000 0.500
I1 I 0.000 0.500 0.000
O1 O 0.500 0.500 0.500
# V: 27.22 Å³/atom

four.
# PBE LiTeI2O, relaxed
data_LiTeI2O
_chemical_formula_sum 'Li1 Te1 I2 O1'
_cell_length_a 5.597
_cell_length_b 5.597
_cell_length_c 3.729
_cell_angle_alpha 90.00
_cell_angle_beta 90.00
_cell_angle_gamma 90.00
_symmetry_space_group_name_H-M 'P 4/m m m'
_symmetry_Int_Tables_number 123
_symmetry_space_group_name_Hall '-P 4 2'
loop_
_atom_site_label
_atom_site_type_symbol
_atom_site_fract_x
_atom_site_fract_y
_atom_site_fract_z
Li1 Li 0.000 0.000 0.000
Te1 Te 0.500 0.500 0.500
I1 I 0.000 0.500 0.000
O1 O 0.000 0.000 0.500
# V: 23.36 Å³/atom

Order from most stable to least stable according to the calculation: one, two, four, three

one.
# PBE LiTiI2O, relaxed
data_LiTiI2O
_chemical_formula_sum 'Li1 Ti1 I2 O1'
_cell_length_a 5.785
_cell_length_b 5.785
_cell_length_c 3.791
_cell_angle_alpha 90.00
_cell_angle_beta 90.00
_cell_angle_gamma 90.00
_symmetry_space_group_name_H-M 'P 4/m m m'
_symmetry_Int_Tables_number 123
_symmetry_space_group_name_Hall '-P 4 2'
loop_
_atom_site_label
_atom_site_type_symbol
_atom_site_fract_x
_atom_site_fract_y
_atom_site_fract_z
Li1 Li 0.000 0.000 0.000
Ti1 Ti 0.500 0.500 0.500
I1 I 0.000 0.500 0.500
O1 O 0.500 0.500 0.000
# V: 25.38 Å³/atom

two.
# PBE LiTiI2O, relaxed
data_LiTiI2O
_chemical_formula_sum 'Li1 Ti1 I2 O1'
_cell_length_a 5.303
_cell_length_b 5.303
_cell_length_c 3.580
_cell_angle_alpha 90.00
_cell_angle_beta 90.00
_cell_angle_gamma 90.00
_symmetry_space_group_name_H-M 'P 4/m m m'
_symmetry_Int_Tables_number 123
_symmetry_space_group_name_Hall '-P 4 2'
loop_
_atom_site_label
_atom_site_type_symbol
_atom_site_fract_x
_atom_site_fract_y
_atom_site_fract_z
Li1 Li 0.000 0.000 0.000
Ti1 Ti 0.500 0.500 0.500
I1 I 0.000 0.500 0.000
O1 O 0.000 0.000 0.500
# V: 20.14 Å³/atom

Order from most stable to least stable according to the calculation: one, two